The following is a DFT calculation (GGA-PBE) of crystalline PrDyTe3 at its relaxed geometry.

Output
crystal system: orthorhombic
energy: -5.187 eV per atom

Cell and atoms, written as CIF:
```
data_PrDyTe3
_cell_length_a 8.314
_cell_length_b 4.433
_cell_length_c 17.456
_cell_angle_alpha 90.00
_cell_angle_beta 90.00
_cell_angle_gamma 90.00
_space_group_name_H-M_alt 'P n m a'
_space_group_IT_number 62
loop_
_space_group_symop_operation_xyz
'x,y,z'
'-x,-y,-z'
'-x+1/2,-y,z+1/2'
'x+1/2,y,-z+1/2'
'x+1/2,-y+1/2,-z+1/2'
'-x+1/2,y+1/2,z+1/2'
'-x,y+1/2,-z'
'x,-y+1/2,z'
loop_
_atom_site_label
_atom_site_fract_x
_atom_site_fract_y
_atom_site_fract_z
Pr1 0.135 0.250 0.200
Dy1 0.228 0.750 0.458
Te1 0.005 0.250 0.394
Te2 0.118 0.750 0.062
Te3 0.156 0.250 0.786
```